# LaGe | Alexandria | GGA-PBE | relaxed
# - Size of the total moment: 0.000 μB/cell
# - E: -0.406 Ry/atom
data_LaGe
_cell_length_a 4.7798
_cell_length_b 4.7798
_cell_length_c 6.1374
_cell_angle_alpha 90.00
_cell_angle_beta 90.00
_cell_angle_gamma 120.00
_symmetry_space_group_name_H-M 'P 63/m m c'
_symmetry_Int_Tables_number 194
_symmetry_space_group_name_Hall '-P 6c 2c'
loop_
_atom_site_label
_atom_site_type_symbol
_atom_site_fract_x
_atom_site_fract_y
_atom_site_fract_z
La1 La 0.3333 0.6667 0.2500
Ge1 Ge 0.0000 0.0000 0.0000